Compound: CsSn2Ge2Au6
Source: Alexandria
Functional: PBE-GGA
Structure: relaxed

Structure (POSCAR):
```
CsSn2Ge2Au6
1.0
-5.1221 -5.0776 -2.9699
1.8148 -8.6695 1.4435
-5.5514 3.8100 3.0716
Cs Au Sn Ge
1 6 2 2
direct
0.5000 0.0000 0.5000 Cs
0.3949 0.6013 0.9109 Au
0.0059 0.9881 0.3060 Au
0.0035 0.6013 0.9108 Au
0.6051 0.3987 0.0891 Au
0.9941 0.0119 0.6940 Au
0.9965 0.3987 0.0892 Au
0.7981 0.4035 0.7389 Sn
0.2019 0.5965 0.2611 Sn
0.8916 0.2174 0.1846 Ge
0.1084 0.7826 0.8154 Ge
```

Computed properties:
**V**: 356.0 Å³/cell
**Fermi-level density of states**: 4.0 states/eV/cell
**Energy**: -3.527 eV per atom
**SG**: C2/m
**Calculated formation energy**: -0.09 eV per atom